A plane-wave DFT calculation with PBE-GGA was carried out for a relaxed structure of HfTl2TcCl.

Final energy ... -22.916 eV per cell
ΔE_f (raw) ... 0.80 eV/atom

Cell and atoms, written as CIF:
```
data_HfTl2TcCl
_cell_length_a 5.893
_cell_length_b 5.893
_cell_length_c 4.683
_cell_angle_alpha 90.00
_cell_angle_beta 90.00
_cell_angle_gamma 90.00
_symmetry_space_group_name_H-M 'P 4/m m m'
_symmetry_Int_Tables_number 123
_symmetry_space_group_name_Hall '-P 4 2'
loop_
_atom_site_label
_atom_site_type_symbol
_atom_site_fract_x
_atom_site_fract_y
_atom_site_fract_z
_atom_site_occupancy
Hf1 Hf 0.000 0.000 0.000 1
Tl1 Tl 0.000 0.500 0.000 1
Tc1 Tc 0.000 0.000 0.500 1
Cl1 Cl 0.500 0.500 0.500 1
```


A plane-wave DFT calculation with PBE-GGA was carried out for a relaxed structure of KTaTc2.

Final energy ... -57.404 eV per cell
E above lowest polymorph ... 0.687 eV/atom
Formation energy ... 1.245 eV/atom

Cell and atoms, written as CIF:
```
data_KTaTc2
_cell_length_a 6.161
_cell_length_b 9.274
_cell_length_c 2.659
_cell_angle_alpha 90.00
_cell_angle_beta 107.62
_cell_angle_gamma 90.00
_symmetry_space_group_name_H-M 'C 1 2/m 1'
_symmetry_Int_Tables_number 12
_symmetry_space_group_name_Hall '-C 2y'
loop_
_atom_site_label
_atom_site_type_symbol
_atom_site_fract_x
_atom_site_fract_y
_atom_site_fract_z
_atom_site_occupancy
K1 K 0.000 0.000 0.000 1
Ta1 Ta 0.000 0.500 0.000 1
Tc1 Tc 0.250 0.250 0.500 1
```


A plane-wave DFT calculation with PBE-GGA was carried out for a relaxed structure of ThSi2Tc2Rh.

Final energy ... -46.764 eV per cell
ΔE_f (raw) ... -0.07 eV/atom

Cell and atoms, written as CIF:
```
data_ThSi2Tc2Rh
_cell_length_a 4.581
_cell_length_b 4.581
_cell_length_c 5.306
_cell_angle_alpha 90.00
_cell_angle_beta 90.00
_cell_angle_gamma 90.00
_symmetry_space_group_name_H-M 'P 4/m m m'
_symmetry_Int_Tables_number 123
_symmetry_space_group_name_Hall '-P 4 2'
loop_
_atom_site_label
_atom_site_type_symbol
_atom_site_fract_x
_atom_site_fract_y
_atom_site_fract_z
_atom_site_occupancy
Th1 Th 0.000 0.000 0.000 1
Si1 Si 0.000 0.500 0.500 1
Tc1 Tc 0.500 0.500 0.232 1
Rh1 Rh 0.000 0.000 0.500 1
```


A plane-wave DFT calculation with PBE-GGA was carried out for a relaxed structure of BaTbCrN3.

Final energy ... -184.066 eV per cell
ΔE_f (raw) ... -0.81 eV/atom

Cell and atoms, written as CIF:
```
data_BaTbCrN3
_cell_length_a 13.261
_cell_length_b 3.781
_cell_length_c 7.642
_cell_angle_alpha 90.00
_cell_angle_beta 105.26
_cell_angle_gamma 90.00
_symmetry_space_group_name_H-M 'C 1 2/m 1'
_symmetry_Int_Tables_number 12
_symmetry_space_group_name_Hall '-C 2y'
loop_
_atom_site_label
_atom_site_type_symbol
_atom_site_fract_x
_atom_site_fract_y
_atom_site_fract_z
_atom_site_occupancy
Ba1 Ba 0.139 0.000 0.078 1
Tb1 Tb 0.155 0.000 0.566 1
Cr1 Cr 0.004 0.500 0.687 1
N1 N 0.005 0.000 0.312 1
N2 N 0.141 0.500 0.787 1
N3 N 0.158 0.500 0.360 1
```


A plane-wave DFT calculation with PBE-GGA was carried out for a relaxed structure of CuTc2.

Final energy ... -73.427 eV per cell
E above lowest polymorph ... 0.029 eV/atom
Formation energy ... 0.117 eV/atom

Cell and atoms, written as CIF:
```
data_CuTc2
_cell_length_a 2.7300
_cell_length_b 2.7300
_cell_length_c 19.6439
_cell_angle_alpha 90.00
_cell_angle_beta 90.00
_cell_angle_gamma 120.00
_symmetry_space_group_name_H-M 'R 3 m'
_symmetry_Int_Tables_number 160
_symmetry_space_group_name_Hall 'R 3 -2"'
loop_
_atom_site_label
_atom_site_type_symbol
_atom_site_fract_x
_atom_site_fract_y
_atom_site_fract_z
_atom_site_occupancy
Cu1 Cu 0.0000 0.0000 0.0000 1
Tc1 Tc 0.0000 0.0000 0.2183 1
Tc2 Tc 0.0000 0.0000 0.4460 1
```


A plane-wave DFT calculation with PBE-GGA was carried out for a relaxed structure of CsNiB2.

Final energy ... -42.601 eV per cell
Formation energy ... 2.335 eV/atom

Cell and atoms, written as CIF:
```
data_CsNiB2
_cell_length_a 6.525
_cell_length_b 6.525
_cell_length_c 6.525
_cell_angle_alpha 90.00
_cell_angle_beta 90.00
_cell_angle_gamma 90.00
_symmetry_space_group_name_H-M 'F m -3 m'
_symmetry_Int_Tables_number 225
_symmetry_space_group_name_Hall '-F 4 2 3'
loop_
_atom_site_label
_atom_site_type_symbol
_atom_site_fract_x
_atom_site_fract_y
_atom_site_fract_z
_atom_site_occupancy
Cs1 Cs 0.000 0.000 0.000 1
Ni1 Ni 0.000 0.000 0.500 1
B1 B 0.250 0.250 0.250 1
```